Computed, not measured: Mn2TcH after structural relaxation at the PBE level of DFT.

Space group: R3m

Lattice parameters (Å, degrees): 2.6550 2.6550 6.4806 78.18 78.18 60.00
With the nearest neighbours (Å) after each atom.
Fractional coordinates of all 4 atoms:
Mn1 0.2777 0.2777 0.1668  3 H 1.88
Tc1 0.4982 0.4982 0.5055  6 Mn 2.57-2.63, 6 Tc 2.65
Mn2 0.0556 0.0556 0.8331  3 H 1.84
H1 0.6685 0.6685 0.9946  6 Mn 1.84-1.88

Computed, not measured: Lu2AlAu after structural relaxation at the PBE level of DFT.

Space group: Fm-3m

Lattice parameters (Å, degrees): 5.0193 5.0193 5.0193 60.00 60.00 60.00
With the nearest neighbours (Å) after each atom.
Fractional coordinates of all 4 atoms:
Al1 0.5000 0.5000 0.5000  8 Lu 3.07
Au1 0.0000 0.0000 0.0000  8 Lu 3.07
Lu1 0.7500 0.7500 0.7500  4 Al 3.07, 4 Au 3.07
Lu2 0.2500 0.2500 0.2500  4 Al 3.07, 4 Au 3.07

Computed, not measured: VCoN after structural relaxation at the PBE level of DFT.

Formation energy from raw total energies, kJ/mol of atoms: -9
Space group: Fddd

Lattice parameters (Å, degrees): 4.9838 4.9838 5.8884 113.22 113.22 93.92
With the nearest neighbours (Å) after each atom.
Fractional coordinates of all 12 atoms:
Co1 0.8638 0.8638 0.7276  4 N 1.93-2.06
N1 0.8045 0.1955 0.0000  4 Co 1.93-2.06, 2 V 1.97
Co2 0.3862 0.8862 0.7724  4 N 1.93-2.06
N2 0.1955 0.8045 0.0000  4 Co 1.93-2.06, 2 V 1.97
N3 0.0545 0.9455 0.5000  4 Co 1.93-2.06, 2 V 1.97
V1 0.6250 0.3750 0.7500  2 N 1.97
V2 0.6250 0.3750 0.2500  2 N 1.97
N4 0.4455 0.5545 0.5000  4 Co 1.93-2.06, 2 V 1.97
Co3 0.1138 0.6138 0.2276  4 N 1.93-2.06
Co4 0.1362 0.1362 0.2724  4 N 1.93-2.06
V3 0.1250 0.3750 0.7500  2 N 1.97
V4 0.6250 0.8750 0.2500  2 N 1.97

no.,energy (eV/atom)
1,-7.99
2,-4.61
3,-8.28